## CsHgMoF6 (GGA+U)

Data for a relaxed structure of CsHgMoF6.

a = 6.4962 Å, b = 6.4813 Å, c = 5.6533 Å
α = 89.95°, β = 90.01°, γ = 58.93°
Last column: nearest neighbours and their distance in Å.
Positions (direct):
F1 0.9721 0.5471 0.2988  1 Mo 1.92
F2 0.7777 0.7775 0.7162  1 Mo 1.94
F3 0.5469 0.9731 0.2991  1 Mo 1.92
F4 0.3543 0.8008 0.5932  1 Mo 1.92
F5 0.5568 0.5568 0.1873  1 Mo 1.95
F6 0.8012 0.3534 0.5931  1 Mo 1.92
Hg1 0.3265 0.3267 0.8014  11 F 3.27-3.53
Cs1 0.9971 0.9972 0.0583  7 F 3.15-3.34
Mo1 0.6672 0.6673 0.4524  6 F 1.92-1.95

Its total moment is 1.014 μB per cell. Its total DFT energy (no corrections) is -40.2 eV for the cell shown.